VASP calculation (GGA-PBE) on a relaxed SrLi2Mo crystal.

Properties
ΔH_f (0 K) = 0.78 eV/atom
Density = 3.8 Mg/m³
Offset from the most stable computed form = 0.1290 eV/atom

CIF file:
```
data_SrLi2Mo
_symmetry_space_group_name_H-M 'C 1 m 1'
_symmetry_Int_Tables_number 8
_symmetry_space_group_name_Hall 'C -2y'
_cell_length_a 10.0737
_cell_length_b 2.8785
_cell_length_c 6.0063
_cell_angle_alpha 90.00
_cell_angle_beta 96.01
_cell_angle_gamma 90.00
loop_
_atom_site_label
_atom_site_fract_x
_atom_site_fract_y
_atom_site_fract_z
_atom_site_occupancy
Sr1 0.0000 0.0000 0.0000 1
Li1 0.2376 0.0000 0.7045 1
Li2 0.4941 0.0000 0.4706 1
Mo1 0.2499 0.5000 0.2857 1
```